3
Lattice="0.000 3.100 3.100 3.100 0.000 3.100 3.100 3.100 0.000" Properties=species:S:1:pos:R:3 comment="In2C | Alexandria | PBE-GGA | relaxed" e_form_ev_per_atom=1.298 energy_ev_per_cell=-10.8 pbc="T T T"
In 1.550 1.550 1.550
In 4.650 4.650 4.650
C 0.000 0.000 0.000